(1)
This record from OQMD describes crystalline NaHoTh at its relaxed geometry. The functional is PBE.

```
NaHoTh
1.0
2.803 -3.738 2.557
1.448 0.759 5.069
-2.281 -2.852 3.876
Na Ho Th
1 1 1
direct
0.250 0.250 0.250
0.000 0.000 0.000
0.750 0.750 0.750
```

=====

(2)
This record from OQMD describes crystalline NaHoTl2 at its relaxed geometry. The functional is PBE.

```
NaHoTl2
1.0
-3.065 -0.057 -4.302
1.049 -5.133 -0.679
-3.016 -0.902 2.161
Tl Na Ho
2 1 1
direct
0.000 0.500 0.000
0.500 0.000 0.000
0.000 0.000 0.500
0.500 0.500 0.500
```

=====

Number 1: VASP energy -3.291 eV per atom. Number 2: VASP energy -2.902 eV per atom.